Tl3Hg12Pb5: optimized geometry, PBE.

Unit cell a=15.363 b=15.363 c=15.363 alpha=109.47 beta=109.47 gamma=109.47
Sites, in units of the cell vectors:
Tl1 0.125 0.250 0.375
Tl2 0.125 0.375 0.750
Tl3 0.250 0.375 0.125
Tl4 0.250 0.875 0.625
Tl5 0.375 0.125 0.250
Tl6 0.375 0.750 0.125
Tl7 0.625 0.250 0.875
Tl8 0.625 0.875 0.750
Tl9 0.750 0.125 0.375
Tl10 0.750 0.625 0.875
Tl11 0.875 0.625 0.250
Tl12 0.875 0.750 0.625
Hg1 0.065 0.232 0.140
Hg2 0.065 0.333 0.925
Hg3 0.075 0.640 0.408
Hg4 0.075 0.935 0.667
Hg5 0.092 0.732 0.667
Hg6 0.092 0.860 0.425
Hg7 0.140 0.065 0.232
Hg8 0.140 0.575 0.908
Hg9 0.167 0.232 0.592
Hg10 0.167 0.435 0.575
Hg11 0.232 0.140 0.065
Hg12 0.232 0.592 0.167
Hg13 0.268 0.333 0.908
Hg14 0.268 0.435 0.360
Hg15 0.333 0.908 0.268
Hg16 0.333 0.925 0.065
Hg17 0.360 0.268 0.435
Hg18 0.360 0.592 0.925
Hg19 0.408 0.075 0.640
Hg20 0.408 0.833 0.768
Hg21 0.425 0.092 0.860
Hg22 0.425 0.833 0.565
Hg23 0.435 0.360 0.268
Hg24 0.435 0.575 0.167
Hg25 0.565 0.425 0.833
Hg26 0.565 0.640 0.732
Hg27 0.575 0.167 0.435
Hg28 0.575 0.908 0.140
Hg29 0.592 0.167 0.232
Hg30 0.592 0.925 0.360
Hg31 0.640 0.408 0.075
Hg32 0.640 0.732 0.565
Hg33 0.667 0.075 0.935
Hg34 0.667 0.092 0.732
Hg35 0.732 0.565 0.640
Hg36 0.732 0.667 0.092
Hg37 0.768 0.408 0.833
Hg38 0.768 0.860 0.935
Hg39 0.833 0.565 0.425
Hg40 0.833 0.768 0.408
Hg41 0.860 0.425 0.092
Hg42 0.860 0.935 0.768
Hg43 0.908 0.140 0.575
Hg44 0.908 0.268 0.333
Hg45 0.925 0.065 0.333
Hg46 0.925 0.360 0.592
Hg47 0.935 0.667 0.075
Hg48 0.935 0.768 0.860
Pb1 0.000 0.000 0.000
Pb2 0.000 0.000 0.500
Pb3 0.000 0.500 0.000
Pb4 0.000 0.500 0.500
Pb5 0.125 0.750 0.875
Pb6 0.125 0.875 0.250
Pb7 0.250 0.125 0.875
Pb8 0.250 0.625 0.375
Pb9 0.375 0.250 0.625
Pb10 0.375 0.625 0.750
Pb11 0.500 0.000 0.000
Pb12 0.500 0.000 0.500
Pb13 0.500 0.500 0.000
Pb14 0.500 0.500 0.500
Pb15 0.625 0.375 0.250
Pb16 0.625 0.750 0.375
Pb17 0.750 0.375 0.625
Pb18 0.750 0.875 0.125
Pb19 0.875 0.125 0.750
Pb20 0.875 0.250 0.125

Total moment in μB/atom: 0.00
Total DFT energy (no corrections) in eV per formula unit: -25.75
Energy relative to the elements in eV/atom: 0.176